Zn2Ag2Br7: relaxed, GGA-PBE. Values from VASP.

Structure (Quantum ESPRESSO input):
```
&SYSTEM
  ibrav = 0, nat = 11, ntyp = 3
/
ATOMIC_SPECIES
Zn 65.41 Zn.upf
Ag 107.87 Ag.upf
Br 79.90 Br.upf
CELL_PARAMETERS angstrom
5.114 -5.636 0.000
5.114 5.636 0.000
-2.867 0.000 6.426
ATOMIC_POSITIONS angstrom
Zn 0.910 0.000 2.530
Zn 6.451 0.000 3.896
Ag 5.114 2.110 0.000
Ag 5.114 -2.110 0.000
Br -1.433 0.000 3.213
Br 1.647 1.990 1.390
Br 1.647 -1.990 1.390
Br 2.198 0.000 4.675
Br 5.163 0.000 1.751
Br 5.713 1.990 5.036
Br 5.713 -1.990 5.036
```

- DFT total energy: -0.086 Ha/atom
- Fermi-level density of states: 8.379 states/eV/f.u.
- Formation energy (no corrections): -50.6 kJ/mol of atoms